# AlPtRh2

Crystalline AlPtRh2 at its relaxed geometry (PBE, the Alexandria database).

Lattice parameters (Å, degrees): 2.8113 2.8113 7.2877 90.00 90.00 90.00
Last column: nearest neighbours and their distance in Å.
Positions (direct):
Pt: 0.5000 0.5000 0.7296  4 Al 2.63, 4 Pt 2.81, 4 Rh 2.85
Al: 0.0000 0.0000 0.4943  4 Rh 2.59, 4 Pt 2.63, 4 Al 2.81
Rh: 0.5000 0.5000 0.2670  4 Al 2.59, 8 Rh 2.74-2.81
Rh: 0.0000 0.0000 0.0091  8 Rh 2.74-2.81, 4 Pt 2.85

ΔE_f in eV/atom: -0.4915
Total energy in eV/atom: -6.6131
DOS(E_F) in states/eV per atom: 1.3139



# K2ThP3Se9

Crystalline K2ThP3Se9 at its relaxed geometry (PBE, the Alexandria database).

Lattice parameters (Å, degrees): 7.9691 10.5812 22.7380 66.70 90.00 90.00
Last column: nearest neighbours and their distance in Å.
Positions (direct):
Se: 0.7177 0.6403 0.9303  1 P 2.24
Se: 0.0182 0.2598 0.9950  1 P 2.22
Se: 0.7823 0.6403 0.4303  1 P 2.24
K: 0.6015 0.5568 0.6750  8 Se 3.47-3.82
Se: 0.6682 0.7258 0.2725  1 P 2.21
Se: 0.7235 0.2888 0.6176  1 P 2.22
K: 0.1015 0.4432 0.8250  8 Se 3.47-3.82
Se: 0.2177 0.3597 0.5697  1 P 2.24
P: 0.3729 0.3754 0.1600  3 Se 2.16-2.24, 1 P 2.28
Se: 0.7069 0.0182 0.9337  1 P 2.22
P: 0.8888 0.9297 0.0135  3 Se 2.19-2.22, 1 P 2.24
Se: 0.7931 0.0182 0.4337  1 P 2.22
P: 0.4166 0.7823 0.8058  3 Se 2.21-2.26, 1 P 2.28
Se: 0.5182 0.7402 0.5050  1 P 2.22
Se: 0.6969 0.9206 0.6065  1 P 2.19
P: 0.9166 0.2177 0.6942  3 Se 2.21-2.26, 1 P 2.28
Se: 0.1682 0.2742 0.2275  1 P 2.21
K: 0.4171 0.7574 0.0020  6 Se 3.33-3.47
Se: 0.8031 0.9206 0.1065  1 P 2.19
P: 0.8729 0.6246 0.3400  3 Se 2.16-2.24, 1 P 2.28
Se: 0.0490 0.0183 0.7095  1 P 2.26
Se: 0.9510 0.9817 0.2905  1 P 2.26
Th: 0.4108 0.1027 0.6460  9 Se 3.01-3.33
Se: 0.6741 0.2050 0.2880  1 P 2.21
Se: 0.2823 0.3597 0.0697  1 P 2.24
Se: 0.1741 0.7950 0.2120  1 P 2.21
Th: 0.5892 0.8973 0.3540  9 Se 3.01-3.33
K: 0.8985 0.5568 0.1750  8 Se 3.47-3.82
Se: 0.3031 0.0794 0.3935  1 P 2.19
Se: 0.2235 0.7112 0.8824  1 P 2.22
Se: 0.5346 0.4322 0.8406  1 P 2.16
P: 0.6112 0.9297 0.5135  3 Se 2.19-2.22, 1 P 2.24
K: 0.0829 0.7574 0.5020  6 Se 3.33-3.47
Se: 0.3259 0.7950 0.7120  1 P 2.21
P: 0.1271 0.3754 0.6600  3 Se 2.16-2.24, 1 P 2.28
Th: 0.9108 0.8973 0.8540  9 Se 3.01-3.33
P: 0.1112 0.0703 0.9865  3 Se 2.19-2.22, 1 P 2.24
Se: 0.9818 0.7402 0.0050  1 P 2.22
Se: 0.7765 0.2888 0.1176  1 P 2.22
K: 0.5829 0.2426 0.9980  6 Se 3.33-3.47
Se: 0.8318 0.7258 0.7725  1 P 2.21
Se: 0.8259 0.2050 0.7880  1 P 2.21
P: 0.5834 0.2177 0.1942  3 Se 2.21-2.26, 1 P 2.28
Se: 0.2765 0.7112 0.3824  1 P 2.22
Se: 0.0346 0.5678 0.6594  1 P 2.16
Se: 0.2069 0.9818 0.5663  1 P 2.22
Th: 0.0892 0.1027 0.1460  9 Se 3.01-3.33
P: 0.6271 0.6246 0.8400  3 Se 2.16-2.24, 1 P 2.28
Se: 0.4654 0.5678 0.1594  1 P 2.16
Se: 0.2931 0.9818 0.0663  1 P 2.22
Se: 0.5490 0.9817 0.7905  1 P 2.26
Se: 0.3318 0.2742 0.7275  1 P 2.21
P: 0.3888 0.0703 0.4865  3 Se 2.19-2.22, 1 P 2.24
P: 0.0834 0.7823 0.3058  3 Se 2.21-2.26, 1 P 2.28
Se: 0.9654 0.4322 0.3406  1 P 2.16
K: 0.3985 0.4432 0.3250  8 Se 3.47-3.82
Se: 0.4818 0.2598 0.4950  1 P 2.22
K: 0.9171 0.2426 0.4980  6 Se 3.33-3.47
Se: 0.4510 0.0183 0.2095  1 P 2.26
Se: 0.1969 0.0794 0.8935  1 P 2.19

Total energy in eV/atom: -4.5694
DOS(E_F) in states/eV per atom: 0.0000
Formation energy (no corrections) in eV per atom: -0.76



# CdGaMo2

Crystalline CdGaMo2 at its relaxed geometry (PBE, the Alexandria database).

Lattice parameters (Å, degrees): 4.5335 4.5335 4.5335 60.00 60.00 60.00
Last column: nearest neighbours and their distance in Å.
Positions (direct):
Mo: 0.2500 0.2500 0.2500  4 Cd 2.78, 4 Ga 2.78
Mo: 0.7500 0.7500 0.7500  4 Cd 2.78, 4 Ga 2.78
Ga: 0.0000 0.0000 0.0000  8 Mo 2.78
Cd: 0.5000 0.5000 0.5000  8 Mo 2.78

ΔE to the lowest computed polymorph in meV/atom: 0
ΔE_f in eV/atom: 0.5217
Total energy in eV/atom: -5.8793
DOS(E_F) in states/eV per atom: 1.0683



# ScFeMo

Crystalline ScFeMo at its relaxed geometry (PBE, the Alexandria database).

Lattice parameters (Å, degrees): 5.2197 5.1353 5.1353 60.10 59.46 59.46
Last column: nearest neighbours and their distance in Å.
Positions (direct):
Fe: 0.5000 0.0000 0.0000  4 Mo 2.57, 2 Fe 2.61
Mo: 0.5000 0.5000 0.0000  4 Fe 2.57, 2 Mo 2.57
Mo: 0.5000 0.0000 0.5000  4 Fe 2.57, 2 Mo 2.57
Fe: 0.0000 0.0000 0.0000  4 Mo 2.57, 2 Fe 2.61
Sc: 0.1218 0.6282 0.6282  6 Fe 2.98-3.03, 6 Mo 3.01-3.04, 4 Sc 3.11-3.20
Sc: 0.8782 0.3718 0.3718  6 Fe 2.98-3.03, 6 Mo 3.01-3.04, 4 Sc 3.11-3.20

ΔE to the lowest computed polymorph in meV/atom: 0
ΔE_f in eV/atom: -0.0980
Total energy in eV/atom: -8.6397
DOS(E_F) in states/eV per atom: 0.7460



# CaYTh

Crystalline CaYTh at its relaxed geometry (PBE, the Alexandria database).

Lattice parameters (Å, degrees): 3.6317 3.6317 9.0701 90.00 90.00 120.00
Last column: nearest neighbours and their distance in Å.
Positions (direct):
Ca: 0.0000 0.0000 0.9969  6 Ca 3.63, 3 Th 3.74, 3 Y 3.81
Th: 0.3333 0.6667 0.6555  3 Y 3.49, 6 Th 3.63, 3 Ca 3.74
Y: 0.6667 0.3333 0.3475  3 Th 3.49, 6 Y 3.63, 3 Ca 3.81

ΔE to the lowest computed polymorph in meV/atom: 3
ΔE_f in eV/atom: 0.0979
Total energy in eV/atom: -5.1972
DOS(E_F) in states/eV per atom: 1.6998



# Tl2Zn

Crystalline Tl2Zn at its relaxed geometry (PBE, the Alexandria database).

Lattice parameters (Å, degrees): 13.6887 13.6835 13.6835 165.44 165.44 20.64
Last column: nearest neighbours and their distance in Å.
Positions (direct):
Tl: 0.6951 0.9453 0.7498  4 Zn 3.10, 2 Tl 3.42
Zn: 0.8751 0.6250 0.2501  8 Tl 3.10
Tl: 0.4452 0.1953 0.2499  4 Zn 3.10, 6 Tl 3.42-3.47
Zn: 0.1249 0.3750 0.7499  8 Tl 3.10
Tl: 0.3049 0.0547 0.2502  4 Zn 3.10, 2 Tl 3.42
Tl: 0.5548 0.8047 0.7501  4 Zn 3.10, 6 Tl 3.42-3.47

ΔE to the lowest computed polymorph in meV/atom: 60
ΔE_f in eV/atom: 0.1361
Total energy in eV/atom: -1.8661
DOS(E_F) in states/eV per atom: 0.3975



# CoReTe2

Crystalline CoReTe2 at its relaxed geometry (PBE, the Alexandria database).

Lattice parameters (Å, degrees): 7.6863 7.6863 7.6863 153.63 150.50 39.98
Last column: nearest neighbours and their distance in Å.
Positions (direct):
Te: 0.1195 0.1195 0.0000  2 Co 2.57, 2 Re 2.72
Co: 0.2500 0.7500 0.5000  4 Te 2.57, 4 Re 2.63
Te: 0.3805 0.3805 0.0000  2 Co 2.57, 2 Re 2.72
Re: 0.7500 0.2500 0.5000  4 Co 2.63, 4 Te 2.72

ΔE to the lowest computed polymorph in meV/atom: 174
Total energy in eV/atom: -6.1736
DOS(E_F) in states/eV per atom: 0.7324
Formation energy (no corrections) in eV per atom: 0.29



# KNi2Au2

Crystalline KNi2Au2 at its relaxed geometry (PBE, the Alexandria database).

Lattice parameters (Å, degrees): 4.1535 4.1535 6.5589 71.54 71.54 90.00
Last column: nearest neighbours and their distance in Å.
Positions (direct):
Au: 0.3805 0.3805 0.2391  4 Ni 2.58, 1 Au 2.80
Ni: 0.2500 0.7500 0.5000  4 Au 2.58
K: 0.0000 0.0000 0.0000  8 Au 3.25, 8 Ni 3.59
Ni: 0.7500 0.2500 0.5000  4 Au 2.58
Au: 0.6195 0.6195 0.7609  4 Ni 2.58, 1 Au 2.80

ΔE to the lowest computed polymorph in meV/atom: 134
ΔE_f in eV/atom: 0.2697
Total energy in eV/atom: -3.5732
DOS(E_F) in states/eV per atom: 1.6988